Entry 1:
DFT (PBE) results for an optimized crystal structure of LiLaIn4O8.

```
LiLaIn4O8
1.0
-0.443 -6.626 -0.242
4.589 -3.519 -3.273
4.256 -3.735 3.237
In O Li La
4 8 1 1
Direct
0.002 0.002 0.499 In
0.497 0.002 0.499 In
0.002 0.497 0.499 In
0.619 0.619 0.143 In
0.748 0.226 0.278 O
0.755 0.755 0.735 O
0.240 0.240 0.280 O
0.236 0.799 0.730 O
0.748 0.748 0.278 O
0.236 0.236 0.730 O
0.226 0.748 0.278 O
0.799 0.236 0.730 O
0.009 0.009 0.973 Li
0.385 0.385 0.845 La
```

M_tot	0.0	μB per cell
formation energy (no corrections)	-26.5	eV per formula unit



Entry 2:
DFT (PBE) results for an optimized crystal structure of LiLu2Ir.

```
LiLu2Ir
1.0
-1.907 -2.694 -1.263
2.325 -2.986 2.858
-3.245 0.712 3.384
Li Ir Lu
1 1 2
Direct
0.500 0.000 0.000 Li
0.500 0.500 0.500 Ir
0.000 0.500 0.000 Lu
0.000 0.000 0.500 Lu
```

M_tot	0.0	μB per cell
electronic total energy	-21.96	eV for the cell shown



Entry 3:
DFT (PBE) results for an optimized crystal structure of NaCa9TaTi9O30.

```
NaCa9TaTi9O30
1.0
38.565 -0.002 0.002
0.000 5.428 -0.002
0.000 0.000 5.526
O Ti Ca Ta Na
60 18 18 2 2
Direct
0.143 0.710 0.284 O
0.542 0.798 0.790 O
0.799 0.580 0.018 O
0.899 0.422 0.976 O
0.259 0.797 0.790 O
0.458 0.798 0.791 O
0.757 0.297 0.709 O
0.500 0.426 0.980 O
0.657 0.714 0.292 O
0.857 0.794 0.786 O
0.458 0.714 0.292 O
0.060 0.710 0.284 O
0.500 0.081 0.478 O
0.359 0.214 0.207 O
0.442 0.298 0.709 O
0.857 0.710 0.284 O
0.359 0.298 0.709 O
0.841 0.294 0.705 O
0.201 0.580 0.018 O
0.000 0.569 0.012 O
0.143 0.794 0.786 O
0.757 0.215 0.207 O
0.159 0.294 0.704 O
0.599 0.581 0.021 O
0.259 0.714 0.291 O
0.641 0.298 0.709 O
0.940 0.711 0.283 O
0.841 0.212 0.204 O
0.400 0.927 0.519 O
0.741 0.797 0.789 O
0.045 0.295 0.699 O
0.699 0.426 0.979 O
0.599 0.927 0.519 O
0.400 0.581 0.021 O
0.343 0.798 0.790 O
0.000 0.936 0.515 O
0.955 0.295 0.699 O
0.641 0.215 0.207 O
0.201 0.926 0.518 O
0.301 0.081 0.478 O
0.699 0.081 0.478 O
0.159 0.212 0.204 O
0.657 0.798 0.791 O
0.060 0.790 0.782 O
0.558 0.299 0.709 O
0.102 0.422 0.976 O
0.243 0.297 0.710 O
0.442 0.214 0.207 O
0.342 0.714 0.292 O
0.558 0.214 0.206 O
0.102 0.078 0.478 O
0.898 0.078 0.478 O
0.798 0.926 0.518 O
0.741 0.714 0.290 O
0.940 0.790 0.781 O
0.045 0.200 0.201 O
0.541 0.714 0.292 O
0.301 0.426 0.980 O
0.955 0.200 0.201 O
0.243 0.215 0.208 O
0.049 0.005 0.515 Ti
0.749 0.986 0.504 Ti
0.952 0.004 0.514 Ti
0.649 0.486 0.996 Ti
0.152 0.499 0.011 Ti
0.450 0.485 0.996 Ti
0.251 0.987 0.504 Ti
0.251 0.487 0.998 Ti
0.451 0.985 0.503 Ti
0.150 0.006 0.513 Ti
0.549 0.985 0.503 Ti
0.749 0.487 0.997 Ti
0.350 0.986 0.503 Ti
0.351 0.486 0.996 Ti
0.550 0.486 0.995 Ti
0.650 0.987 0.503 Ti
0.848 0.499 0.011 Ti
0.850 0.006 0.513 Ti
0.102 0.990 0.050 Ca
0.400 0.003 0.958 Ca
0.500 0.986 0.047 Ca
0.898 0.990 0.050 Ca
0.600 0.487 0.453 Ca
0.201 0.492 0.459 Ca
0.799 0.006 0.959 Ca
0.102 0.511 0.545 Ca
0.500 0.503 0.540 Ca
0.898 0.511 0.544 Ca
0.799 0.491 0.458 Ca
0.301 0.503 0.541 Ca
0.201 0.006 0.960 Ca
0.600 0.003 0.958 Ca
0.301 0.986 0.047 Ca
0.699 0.986 0.047 Ca
0.699 0.503 0.540 Ca
0.400 0.487 0.453 Ca
0.051 0.494 0.010 Ta
0.950 0.494 0.009 Ta
0.000 0.500 0.487 Na
0.000 0.000 0.983 Na
```

M_tot	0.0	μB per cell
formation energy (no corrections)	-154.4	eV per formula unit